The following is a DFT calculation (GGA-PBEsol) of an optimized crystal structure of Sr2CaYTa.

Cell: 5.821 5.821 5.685 Å, 90.00 90.00 90.00°
Element x y z (fractional)
1 Sr 0.000 0.500 0.000
2 Sr 0.500 0.000 0.000
3 Ca 0.000 0.000 0.500
4 Y 0.500 0.500 0.500
5 Ta 0.000 0.000 0.000

Results
crystal system	tetragonal
formation energy	1.110	eV per atom
D(E_F)	1.26	states/eV/atom

---

The following is a DFT calculation (GGA-PBEsol) of an optimized crystal structure of SrCa3Tc.

Cell: 5.574 5.574 5.574 Å, 90.00 90.00 90.00°
Element x y z (fractional)
1 Sr 0.000 0.000 0.000
2 Ca 0.000 0.000 0.500
3 Ca 0.000 0.500 0.000
4 Ca 0.500 0.000 0.000
5 Tc 0.500 0.500 0.500

Results
crystal system	cubic
formation energy	1.889	eV per atom
D(E_F)	1.11	states/eV/atom

---

The following is a DFT calculation (GGA-PBEsol) of an optimized crystal structure of Sr2CaTc.

Cell: 5.737 5.737 5.737 Å, 126.39 126.39 79.25°
Element x y z (fractional)
1 Sr 0.250 0.750 0.500
2 Sr 0.750 0.250 0.500
3 Ca 0.000 0.000 0.000
4 Tc 0.500 0.500 0.000

Results
crystal system	tetragonal
formation energy	0.777	eV per atom
D(E_F)	1.01	states/eV/atom